BaMnAs PBE relaxed; density of states at the Fermi level = 2.55 states/eV per cell; SG = I4mm (107); ΔE_f = -0.36 eV per formula unit
1.0
6.4196 -0.1799 0.1934
5.4660 3.3714 0.1939
0.9536 0.2555 3.5421
As Ba Mn
1 1 1
Direct
0.0575 0.0575 0.9425 As
0.3353 0.3354 0.6647 Ba
0.6072 0.6071 0.3928 Mn